# Rb3GeSe

A relaxed structure of Rb3GeSe (PBE, Alexandria via LeMat-Bulk).

Summary:
E_form (uncorrected) in eV per atom: -0.257
Calculated volume in Å³ per cell: 286.4
Distance to the lowest polymorph of the same formula in meV/atom: 283
Total magnetic moment in μB/f.u.: 3.00

a b c (Å): 6.5920 6.5920 6.5920
angles (deg): 90.00 90.00 90.00
Space group Pm-3m (No. 221)
Inequivalent atoms, fractional coordinates:
Rb  0.0000  0.0000  0.5000 x3
Ge  0.5000  0.5000  0.5000 x1
Se  0.0000  0.0000  0.0000 x1

---

# Rb3GeSe3

A relaxed structure of Rb3GeSe3 (PBE, Alexandria via LeMat-Bulk).

Summary:
E_form (uncorrected) in eV per atom: -0.747
Calculated volume in Å³ per cell: 1334.2
Distance to the lowest polymorph of the same formula in meV/atom: 136
Total magnetic moment in μB/f.u.: 0.00

a b c (Å): 10.5581 18.2308 6.9314
angles (deg): 90.00 90.00 90.00
Space group Cmcm (No. 63)
Inequivalent atoms, fractional coordinates:
Rb  0.0000  0.1783  0.2500 x4
Rb  0.2313  0.4107  0.2500 x8
Ge  0.0000  0.3331  0.7500 x4
Se  0.0000  0.1996  0.7500 x4
Se  0.1994  0.3999  0.7500 x8

---

no.,E (eV per cell)
1,-12.29
2,-92.80